Record 1
VASP calculation (PBE with a Hubbard U) on a relaxed structure of Cs2VCl5O4.

Cell: 9.0161 9.0161 6.8732 Å, 74.50 74.50 37.11°
Closest atoms and distances in Å follow each position.
Element x y z (fractional)
Cl1 0.1137 0.1137 0.1311  1 V 2.36
Cl2 0.5000 0.5000 0.5000  4 O 2.93
O1 0.7406 0.1628 0.2011  1 V 1.85
Cl3 0.6667 0.6667 0.8063  2 O 2.63
Cl4 0.3333 0.3333 0.1937  2 O 2.63
O2 0.2594 0.8372 0.7989  1 V 1.85
O3 0.1628 0.7406 0.2011  1 V 1.85
Cs1 0.7020 0.7020 0.2875  8 Cl 3.35-3.62
Cl5 0.8863 0.8863 0.8689  1 V 2.36
Cs2 0.2980 0.2980 0.7125  8 Cl 3.35-3.62
V1 0.0000 0.0000 0.0000  4 O 1.85
O4 0.8372 0.2594 0.7989  1 V 1.85

Results
**E**: -3.747 eV/atom
**D(E_F)**: 8.324 states/eV/cell
**Total magnetic moment**: 6.08 μB per formula unit



Record 2
VASP calculation (PBE with a Hubbard U) on a relaxed structure of Cs2WCl5O.

Cell: 7.4761 7.4761 7.4761 Å, 88.78 120.71 120.71°
Closest atoms and distances in Å follow each position.
Element x y z (fractional)
Cs1 0.5000 0.7470 0.2470  10 Cl 3.71-3.75, 2 O 3.77
Cl1 0.0000 0.2181 0.2181  1 W 2.54
Cl2 0.0000 0.7652 0.2308  1 W 2.44
Cl3 0.5345 0.7652 0.7652  1 W 2.44
W1 0.0000 0.9802 0.9802  1 O 1.76
Cs2 0.5000 0.2470 0.7470  10 Cl 3.71-3.75, 2 O 3.77
Cl4 0.4655 0.2308 0.2308  1 W 2.44
Cl5 0.0000 0.2308 0.7652  1 W 2.44
O1 0.0000 0.8156 0.8156  1 W 1.76

Results
**E**: -4.223 eV/atom
**D(E_F)**: 0.000 states/eV/cell
**Total magnetic moment**: 0.97 μB per formula unit



Record 3
VASP calculation (PBE with a Hubbard U) on a relaxed structure of CsWClO3.

Cell: 5.5529 6.6156 11.3158 Å, 73.00 90.05 90.19°
Closest atoms and distances in Å follow each position.
Element x y z (fractional)
O1 0.9992 0.8121 0.0000  2 W 1.96
O2 0.7500 0.1075 0.7851  1 W 1.73
Cl1 0.2500 0.6940 0.6119  4 Cs 3.34-3.38
Cl2 0.7500 0.3060 0.3881  4 Cs 3.34-3.38
Cs1 0.7500 0.7835 0.4330  4 Cl 3.34-3.38, 2 O 3.64
W1 0.7500 0.0274 0.9453  1 O 1.73
O3 0.5008 0.1879 0.0000  2 W 1.96
Cs2 0.2500 0.2165 0.5670  4 Cl 3.34-3.38, 2 O 3.64
W2 0.2500 0.9726 0.0547  1 O 1.73
O4 0.0008 0.1879 0.0000  2 W 1.96
O5 0.2500 0.8925 0.2149  1 W 1.73
O6 0.4992 0.8121 0.0000  2 W 1.96

Results
**E**: -5.905 eV/atom
**Total magnetic moment**: 0.07 μB per formula unit



Among the records above, which one has the highest total magnetic moment? Cs2VCl5O4



total magnetic moment of number 3 (CsWClO3)? 0.07 μB per formula unit